Below is crystalline ZrIr2Ru at its relaxed geometry, with properties calculated at the PBE-GGA level.

Values from the calculation:
Space group = I-4m2 (119)
ΔE to the lowest computed polymorph = 124 meV per atom
Formation energy = -0.406 eV per atom
Total energy = -9.293 eV per atom

abc: 4.884 4.884 4.884
angles: 131.82 131.82 70.52
Fractional positions:
Ir 0.750 0.250 0.500
Ir 0.000 0.000 0.000
Zr 0.250 0.750 0.500
Ru 0.500 0.500 0.000